No. 1
The following is a DFT calculation (PBE-GGA) of an optimized crystal structure of LuPa2V.

a = 3.067 Å, b = 3.067 Å, c = 11.400 Å
α = 82.27°, β = 82.27°, γ = 60.00°
Site moments in Bohr magnetons follow the coordinates.
Fractional positions:
Pa 0.093 0.093 0.722  0.01
Pa 0.907 0.907 0.278  0.01
Lu 0.000 0.000 0.000  0.01
V 0.500 0.500 0.500  0.09

- spin magnetization (μB per atom) = 0.034
- DFT formation energy (kcal/mol of atoms) = 10.034
- total DFT energy (no corrections) (eV per atom) = -7.72



No. 2
The following is a DFT calculation (PBE-GGA) of an optimized crystal structure of LuPaV2.

a = 3.262 Å, b = 3.262 Å, c = 8.927 Å
α = 79.47°, β = 79.47°, γ = 60.00°
Site moments in Bohr magnetons follow the coordinates.
Fractional positions:
Pa 0.000 0.000 0.000  0.04
Lu 0.500 0.500 0.500  0.01
V 0.259 0.259 0.224  0.13
V 0.741 0.741 0.776  0.13

- spin magnetization (μB per atom) = 0.079
- DFT formation energy (kcal/mol of atoms) = 11.101
- total DFT energy (no corrections) (eV per atom) = -7.58



No. 3
The following is a DFT calculation (PBE-GGA) of an optimized crystal structure of Y2LuPa.

a = 3.406 Å, b = 3.406 Å, c = 10.189 Å
α = 90.00°, β = 90.00°, γ = 90.00°
Site moments in Bohr magnetons follow the coordinates.
Fractional positions:
Y 0.000 0.000 0.763  0.00
Y 0.000 0.000 0.237  0.00
Pa 0.500 0.500 0.000  0.14
Lu 0.500 0.500 0.500  -0.01

- spin magnetization (μB per atom) = 0.038
- DFT formation energy (kcal/mol of atoms) = 3.447
- total DFT energy (no corrections) (eV per atom) = -6.59
- excess energy over the best structure of this formula in the dataset (eV/atom) = 0.000



No. 4
The following is a DFT calculation (PBE-GGA) of an optimized crystal structure of YLu2Pa.

a = 3.405 Å, b = 3.405 Å, c = 9.936 Å
α = 90.00°, β = 90.00°, γ = 90.00°
Site moments in Bohr magnetons follow the coordinates.
Fractional positions:
Y 0.500 0.500 0.500  0.00
Pa 0.500 0.500 0.000  0.14
Lu 0.000 0.000 0.767  0.01
Lu 0.000 0.000 0.233  0.01

- spin magnetization (μB per atom) = 0.045
- DFT formation energy (kcal/mol of atoms) = 2.730
- total DFT energy (no corrections) (eV per atom) = -6.13
- excess energy over the best structure of this formula in the dataset (eV/atom) = 0.000



No. 5
The following is a DFT calculation (PBE-GGA) of an optimized crystal structure of YLu2Pa.

a = 3.577 Å, b = 5.674 Å, c = 5.674 Å
α = 90.00°, β = 90.00°, γ = 90.00°
Fractional positions:
Y 0.500 0.000 0.000
Pa 0.500 0.500 0.500
Lu 0.000 0.000 0.500
Lu 0.000 0.500 0.000

- spin magnetization (μB per atom) = 0.010
- DFT formation energy (kcal/mol of atoms) = 6.213
- total DFT energy (no corrections) (eV per atom) = -5.98
- excess energy over the best structure of this formula in the dataset (eV/atom) = 0.151



No. 6
The following is a DFT calculation (PBE-GGA) of an optimized crystal structure of YLuPa.

a = 3.408 Å, b = 3.408 Å, c = 8.457 Å
α = 90.00°, β = 90.00°, γ = 120.00°
Fractional positions:
Y 0.333 0.667 0.677
Pa 0.000 0.000 0.003
Lu 0.667 0.333 0.320

- spin magnetization (μB per atom) = 0.000
- DFT formation energy (kcal/mol of atoms) = 2.691
- total DFT energy (no corrections) (eV per atom) = -6.71
- excess energy over the best structure of this formula in the dataset (eV/atom) = 0.000